1.
This record from Alexandria via LeMat-Bulk describes a relaxed Ba3FeGe2O8 crystal. The functional is PBE+U.

abc: 5.8222 5.8222 7.5073
angles: 90.00 90.00 120.00
Space group P-3m1 (No. 164)
Inequivalent atoms, fractional coordinates:
Ba  0.0000  0.0000  0.0000 (multiplicity 1)
Ba  0.3333  0.6667  0.6587 (multiplicity 2)
Fe  0.0000  0.0000  0.5000 (multiplicity 1)
Ge  0.3333  0.6667  0.2240 (multiplicity 2)
O  0.1694  0.3388  0.3182 (multiplicity 6)
O  0.3333  0.6667  0.9932 (multiplicity 2)

Calculated values
total magnetization: 0.29 μB per atom
calculated total energy: -90.424 eV for the cell shown

---

2.
This record from Alexandria via LeMat-Bulk describes a relaxed Ba3Fe2Ge4O14 crystal. The functional is PBE+U.

abc: 15.2273 8.3482 5.4111
angles: 90.00 92.18 90.00
Space group C2 (No. 5)
Inequivalent atoms, fractional coordinates:
Ba  0.0000  0.0000  0.0000 (multiplicity 2)
Ba  0.2064  0.3389  0.9873 (multiplicity 4)
Fe  0.0000  0.3391  0.5000 (multiplicity 2)
Fe  0.0000  0.5440  0.0000 (multiplicity 2)
Ge  0.1244  0.6642  0.4682 (multiplicity 4)
Ge  0.1663  0.0458  0.5080 (multiplicity 4)
O  0.0596  0.7225  0.2104 (multiplicity 4)
O  0.0621  0.3837  0.2064 (multiplicity 4)
O  0.0864  0.1652  0.6450 (multiplicity 4)
O  0.0927  0.5258  0.6933 (multiplicity 4)
O  0.1539  0.8468  0.6405 (multiplicity 4)
O  0.1731  0.0473  0.1909 (multiplicity 4)
O  0.2295  0.6041  0.3385 (multiplicity 4)

Calculated values
total magnetization: 0.43 μB per atom
calculated total energy: -303.393 eV for the cell shown

---

3.
This record from Alexandria via LeMat-Bulk describes a relaxed BaFeGeO4 crystal. The functional is PBE+U.

abc: 5.6085 5.9643 6.9369
angles: 90.00 105.87 90.00
Space group P2_1/m (No. 11)
Inequivalent atoms, fractional coordinates:
Ba  0.2381  0.2500  0.4499 (multiplicity 2)
Fe  0.3724  0.2500  0.9969 (multiplicity 2)
Ge  0.2199  0.7500  0.1696 (multiplicity 2)
O  0.0270  0.2500  0.0476 (multiplicity 2)
O  0.1426  0.7500  0.3994 (multiplicity 2)
O  0.4534  0.5320  0.1866 (multiplicity 4)

Calculated values
total magnetization: 0.57 μB per atom
calculated total energy: -91.155 eV for the cell shown